[1]
Entry from Alexandria via LeMat-Bulk: a relaxed structure of InFeBPd2 (PBE-GGA).

As for the formation energy: -0.150 eV per atom. For the density of states at the Fermi level, the calculation gives 0.69 states/eV/atom. The calculation puts the size of the total moment at 0.83 μB/cell.

```
data_InFeBPd2
_chemical_formula_sum 'In1 Fe1 B1 Pd2'
_symmetry_space_group_name_H-M 'P 4/m m m'
_symmetry_Int_Tables_number 123
_symmetry_space_group_name_Hall '-P 4 2'
_cell_length_a 4.237
_cell_length_b 4.237
_cell_length_c 3.964
_cell_angle_alpha 90.00
_cell_angle_beta 90.00
_cell_angle_gamma 90.00
loop_
_atom_site_label
_atom_site_type_symbol
_atom_site_fract_x
_atom_site_fract_y
_atom_site_fract_z
_atom_site_occupancy
In1 In 0.000 0.000 0.000 1
Fe1 Fe 0.500 0.500 0.000 1
B1 B 0.500 0.500 0.500 1
Pd1 Pd 0.000 0.500 0.500 1
```



[2]
Entry from Alexandria via LeMat-Bulk: a relaxed structure of CaInB2I (PBE-GGA).

The value obtained for the raw formation energy is 7.44 eV per formula unit. For the density of states at the Fermi level, the calculation gives 0.80 states/eV/atom. The calculation puts the size of the total moment at 1.93 μB/cell.

```
data_CaInB2I
_chemical_formula_sum 'Ca1 In1 B2 I1'
_symmetry_space_group_name_H-M 'P 4/m m m'
_symmetry_Int_Tables_number 123
_symmetry_space_group_name_Hall '-P 4 2'
_cell_length_a 5.189
_cell_length_b 5.189
_cell_length_c 6.040
_cell_angle_alpha 90.00
_cell_angle_beta 90.00
_cell_angle_gamma 90.00
loop_
_atom_site_label
_atom_site_type_symbol
_atom_site_fract_x
_atom_site_fract_y
_atom_site_fract_z
_atom_site_occupancy
Ca1 Ca 0.000 0.000 0.000 1
In1 In 0.500 0.500 0.500 1
B1 B 0.000 0.500 0.000 1
I1 I 0.000 0.000 0.500 1
```



[3]
Entry from Alexandria via LeMat-Bulk: a relaxed structure of HoBPt2 (PBE-GGA).

As for the formation energy: -0.513 eV per atom. For the density of states at the Fermi level, the calculation gives 0.52 states/eV/atom. The calculation puts the size of the total moment at 0.00 μB/cell.

```
data_HoBPt2
_chemical_formula_sum 'Ho3 B3 Pt6'
_symmetry_space_group_name_H-M 'R -3 m'
_symmetry_Int_Tables_number 166
_symmetry_space_group_name_Hall '-R 3 2"'
_cell_length_a 3.8139
_cell_length_b 3.8139
_cell_length_c 16.2596
_cell_angle_alpha 90.00
_cell_angle_beta 90.00
_cell_angle_gamma 120.00
loop_
_atom_site_label
_atom_site_type_symbol
_atom_site_fract_x
_atom_site_fract_y
_atom_site_fract_z
_atom_site_occupancy
Ho1 Ho 0.0000 0.0000 0.0000 1
B1 B 0.0000 0.0000 0.5000 1
Pt1 Pt 0.0000 0.0000 0.2140 1
```



[4]
Entry from Alexandria via LeMat-Bulk: a relaxed structure of Y3Pd7Pt2 (PBE-GGA).

As for the formation energy: -0.719 eV per atom. For the density of states at the Fermi level, the calculation gives 0.36 states/eV/atom. The calculation puts the size of the total moment at 0.00 μB/cell.

```
data_Y3Pd7Pt2
_chemical_formula_sum 'Y6 Pd14 Pt4'
_symmetry_space_group_name_H-M 'C m m m'
_symmetry_Int_Tables_number 65
_symmetry_space_group_name_Hall '-C 2 2'
_cell_length_a 4.133
_cell_length_b 26.275
_cell_length_c 4.242
_cell_angle_alpha 90.00
_cell_angle_beta 90.00
_cell_angle_gamma 90.00
loop_
_atom_site_label
_atom_site_type_symbol
_atom_site_fract_x
_atom_site_fract_y
_atom_site_fract_z
_atom_site_occupancy
Y1 Y 0.000 0.000 0.000 1
Y2 Y 0.000 0.157 0.000 1
Pd1 Pd 0.000 0.078 0.500 1
Pd2 Pd 0.000 0.224 0.500 1
Pd3 Pd 0.000 0.423 0.000 1
Pd4 Pd 0.000 0.500 0.500 1
Pt1 Pt 0.000 0.348 0.500 1
```